The following is a PBE calculation of ThCd2Ga2 after structural relaxation, from Alexandria via LeMat-Bulk.

## Properties
Its volume is 22.1 Å³ per atom. The total DFT energy (no corrections) is -0.2491 Ry/atom.

Cell lengths 12.1670, 12.1670, 12.1670 Å; angles 159.56, 159.46, 29.14 degrees
With the nearest neighbours (Å) after each atom.
Fractional positions:
1 Th 0.3278 0.0778 0.2500  10 Ga 3.24-3.30, 2 Cd 3.60
2 Th 0.6722 0.9222 0.7500  10 Ga 3.24-3.30, 2 Cd 3.60
3 Cd 0.0501 0.8001 0.2500  2 Ga 2.74, 4 Cd 3.06
4 Cd 0.4528 0.7028 0.7500  2 Ga 2.79, 6 Cd 3.06-3.10
5 Cd 0.5472 0.2972 0.2500  2 Ga 2.79, 6 Cd 3.06-3.10
6 Cd 0.9499 0.1999 0.7500  2 Ga 2.74, 4 Cd 3.06
7 Ga 0.1216 0.3716 0.7500  1 Ga 2.44
8 Ga 0.2250 0.4750 0.7500  3 Ga 2.44-2.47
9 Ga 0.7750 0.5250 0.2500  3 Ga 2.44-2.47
10 Ga 0.8784 0.6284 0.2500  1 Ga 2.44

=====

The following is a PBE calculation of P5Ir after structural relaxation, from Alexandria via LeMat-Bulk.

## Properties
The excess energy over the best structure of this formula in the dataset comes out at 0.843 eV per atom. Its volume is 14.7 Å³ per atom. The total DFT energy (no corrections) is -0.3641 Ry/atom.

Cell lengths 4.9960, 4.9960, 4.9960 Å; angles 60.00, 60.00, 60.00 degrees
With the nearest neighbours (Å) after each atom.
Fractional positions:
1 P 0.0000 0.0000 0.0000  12 P 2.92, 4 Ir 3.06
2 P 0.1167 0.6278 0.6278  6 P 2.44-2.55
3 P 0.6278 0.1167 0.6278  6 P 2.44-2.55
4 P 0.6278 0.6278 0.1167  6 P 2.44-2.55
5 P 0.6278 0.6278 0.6278  6 P 2.44-2.55
6 Ir 0.2500 0.2500 0.2500  16 P 2.94-3.06

=====

The following is a PBE calculation of KNi4As after structural relaxation, from Alexandria via LeMat-Bulk.

## Properties
Its volume is 14.6 Å³ per atom. The total DFT energy (no corrections) is -0.3227 Ry/atom.

Cell lengths 4.9838, 4.9838, 4.9838 Å; angles 60.00, 60.00, 60.00 degrees
With the nearest neighbours (Å) after each atom.
Fractional positions:
1 K 0.0000 0.0000 0.0000  12 Ni 2.93, 4 As 3.05
2 Ni 0.1297 0.6234 0.6234  6 Ni 2.46-2.52
3 Ni 0.6234 0.1297 0.6234  6 Ni 2.46-2.52
4 Ni 0.6234 0.6234 0.1297  6 Ni 2.46-2.52
5 Ni 0.6234 0.6234 0.6234  6 Ni 2.46-2.52
6 As 0.2500 0.2500 0.2500  12 Ni 2.92, 4 K 3.05

=====

The following is a PBE calculation of La3RuAu after structural relaxation, from Alexandria via LeMat-Bulk.

## Properties
The excess energy over the best structure of this formula in the dataset comes out at 0.112 eV per atom. Its volume is 30.4 Å³ per atom. The total DFT energy (no corrections) is -0.4294 Ry/atom.

Cell lengths 7.7622, 10.2953, 7.6036 Å; angles 90.00, 90.00, 90.00 degrees
With the nearest neighbours (Å) after each atom.
Fractional positions:
1 La 0.1138 0.2500 0.2153  2 Ru 2.67-2.98
2 La 0.1584 0.0761 0.6633  1 Ru 2.79, 2 Au 2.95-3.03
3 La 0.1584 0.4239 0.6633  1 Ru 2.79, 2 Au 2.95-3.03
4 La 0.3416 0.5761 0.1633  1 Ru 2.79, 2 Au 2.95-3.03
5 La 0.3416 0.9239 0.1633  1 Ru 2.79, 2 Au 2.95-3.03
6 La 0.3862 0.7500 0.7153  2 Ru 2.67-2.98
7 La 0.6138 0.2500 0.2847  2 Ru 2.67-2.98
8 La 0.6584 0.0761 0.8367  1 Ru 2.79, 2 Au 2.95-3.03
9 La 0.6584 0.4239 0.8367  1 Ru 2.79, 2 Au 2.95-3.03
10 La 0.8416 0.5761 0.3367  1 Ru 2.79, 2 Au 2.95-3.03
11 La 0.8416 0.9239 0.3367  1 Ru 2.79, 2 Au 2.95-3.03
12 La 0.8862 0.7500 0.7847  2 Ru 2.67-2.98
13 Ru 0.0723 0.7500 0.4892  4 La 2.67-2.98
14 Ru 0.4277 0.2500 0.9892  4 La 2.67-2.98
15 Ru 0.5723 0.7500 0.0108  4 La 2.67-2.98
16 Ru 0.9277 0.2500 0.5108  4 La 2.67-2.98
17 Au 0.0000 0.0000 0.0000  6 La 2.95-3.18
18 Au 0.0000 0.5000 0.0000  6 La 2.95-3.18
19 Au 0.5000 0.0000 0.5000  6 La 2.95-3.18
20 Au 0.5000 0.5000 0.5000  6 La 2.95-3.18

=====

The following is a PBE calculation of KTcAu after structural relaxation, from Alexandria via LeMat-Bulk.

## Properties
The excess energy over the best structure of this formula in the dataset comes out at 0.195 eV per atom. Its volume is 19.9 Å³ per atom. The total DFT energy (no corrections) is -0.2981 Ry/atom.

Cell lengths 2.8880, 2.8880, 8.2678 Å; angles 90.00, 90.00, 120.00 degrees
With the nearest neighbours (Å) after each atom.
Fractional positions:
1 K 0.0000 0.0000 0.0000  6 K 2.89
2 Tc 0.3333 0.6667 0.3610  3 Au 2.88, 6 Tc 2.89
3 Au 0.6667 0.3333 0.6443  3 Tc 2.88, 6 Au 2.89

=====

The following is a PBE calculation of NaLa2Ga2 after structural relaxation, from Alexandria via LeMat-Bulk.

## Properties
The excess energy over the best structure of this formula in the dataset comes out at 0.103 eV per atom. Its volume is 28.7 Å³ per atom. The total DFT energy (no corrections) is -0.2725 Ry/atom.

Cell lengths 9.3224, 9.3224, 3.3005 Å; angles 90.00, 90.00, 90.00 degrees
With the nearest neighbours (Å) after each atom.
Fractional positions:
1 Na 0.0000 0.0000 0.0000  2 Na 3.30, 4 La 3.60
2 Na 0.5000 0.5000 0.0000  2 Na 3.30, 4 La 3.60
3 La 0.1410 0.3590 0.0000  6 Ga 3.13-3.24, 2 La 3.30
4 La 0.3590 0.8590 0.0000  6 Ga 3.13-3.24, 2 La 3.30
5 La 0.6410 0.1410 0.0000  6 Ga 3.13-3.24, 2 La 3.30
6 La 0.8590 0.6410 0.0000  6 Ga 3.13-3.24, 2 La 3.30
7 Ga 0.1572 0.6572 0.5000  6 La 3.13-3.24, 2 Ga 3.30
8 Ga 0.3428 0.1572 0.5000  6 La 3.13-3.24, 2 Ga 3.30
9 Ga 0.6572 0.8428 0.5000  6 La 3.13-3.24, 2 Ga 3.30
10 Ga 0.8428 0.3428 0.5000  6 La 3.13-3.24, 2 Ga 3.30

=====

The following is a PBE calculation of Pu4I5Cl2 after structural relaxation, from Alexandria via LeMat-Bulk.

## Properties
Its volume is 41.1 Å³ per atom. The total DFT energy (no corrections) is -0.5410 Ry/atom.

Cell lengths 10.3422, 10.3422, 10.6475 Å; angles 100.42, 100.42, 23.85 degrees
With the nearest neighbours (Å) after each atom.
Fractional positions:
1 Pu 0.0235 0.0235 0.2266  2 Cl 2.73
2 Pu 0.3225 0.3225 0.4908  1 Cl 2.80
3 Pu 0.6775 0.6775 0.5092  1 Cl 2.80
4 Pu 0.9765 0.9765 0.7734  2 Cl 2.73
5 I 0.1265 0.1265 0.7042  3 Pu 3.25-3.28
6 I 0.1846 0.1846 0.2780  4 Pu 3.20-3.28
7 I 0.5000 0.5000 0.0000  4 Pu 3.19
8 I 0.8154 0.8154 0.7220  4 Pu 3.20-3.28
9 I 0.8735 0.8735 0.2958  3 Pu 3.25-3.28
10 Cl 0.4581 0.4581 0.6106  3 Pu 2.73-2.80
11 Cl 0.5419 0.5419 0.3894  3 Pu 2.73-2.80

=====

The following is a PBE calculation of La2TlAs after structural relaxation, from Alexandria via LeMat-Bulk.

## Properties
The excess energy over the best structure of this formula in the dataset comes out at 0.207 eV per atom. Its volume is 28.4 Å³ per atom. The total DFT energy (no corrections) is -0.3634 Ry/atom.

Cell lengths 4.1690, 5.2087, 5.2249 Å; angles 90.00, 90.00, 90.00 degrees
With the nearest neighbours (Å) after each atom.
Fractional positions:
1 La 0.0000 0.0000 0.0000  4 As 3.34, 4 Tl 3.34, 4 La 3.69
2 La 0.0000 0.5000 0.5000  4 Tl 3.34, 4 As 3.34, 4 La 3.69
3 Tl 0.5000 0.0000 0.5000  8 La 3.34, 4 As 3.69
4 As 0.5000 0.5000 0.0000  8 La 3.34, 4 Tl 3.69

=====

Number 4 is which compound? La3RuAu

=====

Which of these has the lowest volume? KNi4As

=====

Look up the total DFT energy (no corrections) of the fourth one. -0.4294 Ry/atom

=====

What did the second record say?
The following is a PBE calculation of P5Ir after structural relaxation, from Alexandria via LeMat-Bulk.

## Properties
The excess energy over the best structure of this formula in the dataset comes out at 0.843 eV per atom. Its volume is 14.7 Å³ per atom. The total DFT energy (no corrections) is -0.3641 Ry/atom.

Cell lengths 4.9960, 4.9960, 4.9960 Å; angles 60.00, 60.00, 60.00 degrees
With the nearest neighbours (Å) after each atom.
Fractional positions:
1 P 0.0000 0.0000 0.0000  12 P 2.92, 4 Ir 3.06
2 P 0.1167 0.6278 0.6278  6 P 2.44-2.55
3 P 0.6278 0.1167 0.6278  6 P 2.44-2.55
4 P 0.6278 0.6278 0.1167  6 P 2.44-2.55
5 P 0.6278 0.6278 0.6278  6 P 2.44-2.55
6 Ir 0.2500 0.2500 0.2500  16 P 2.94-3.06